(1)
A relaxed K2TcSn crystal. Source: Alexandria, functional PBE-GGA.

## Properties
- calculated density (Mg/m³) = 2.2
- total magnetization (Bohr magnetons per cell) = 4.0
- electronic total energy (eV/atom) = -3.35
- volume (Å³/f.u.) = 226.5
- density of states at the Fermi level (states/eV/atom) = 2.0721

Cell and atoms, written as POSCAR:
```
K2TcSn
1.0
-6.658 6.658 2.554
6.658 -6.658 2.554
6.658 6.658 -2.554
K Tc Sn
4 2 2
direct
0.375 0.130 0.255
0.870 0.125 0.245
0.875 0.120 0.745
0.880 0.625 0.755
0.000 0.000 0.000
0.750 0.250 0.500
0.250 0.750 0.500
0.500 0.500 0.000
```


(2)
A relaxed KTc2Sn crystal. Source: Alexandria, functional PBE-GGA.

## Properties
- calculated density (Mg/m³) = 5.6
- total magnetization (Bohr magnetons per cell) = 0.0
- electronic total energy (eV/atom) = -5.43
- volume (Å³/f.u.) = 105.3
- density of states at the Fermi level (states/eV/atom) = 0.9661

Cell and atoms, written as POSCAR:
```
KTc2Sn
1.0
-2.317 2.317 9.810
2.317 -2.317 9.810
2.317 2.317 -9.810
K Tc Sn
2 4 2
direct
0.000 0.000 0.000
0.750 0.250 0.500
0.306 0.625 0.181
0.375 0.556 0.681
0.444 0.125 0.819
0.875 0.694 0.319
0.250 0.750 0.500
0.500 0.500 0.000
```


(3)
A relaxed KTc3Sn crystal. Source: Alexandria, functional PBE-GGA.

## Properties
- calculated density (Mg/m³) = 7.6
- total magnetization (Bohr magnetons per cell) = 3.8
- volume (Å³/f.u.) = 99.2
- polymorph energy (0 for the lowest one) (meV/atom) = 890
- density of states at the Fermi level (states/eV/atom) = 1.4030

Cell and atoms, written as POSCAR:
```
KTc3Sn
1.0
4.629 0.000 0.000
0.000 4.629 0.000
0.000 0.000 4.629
K Tc Sn
1 3 1
direct
0.000 0.000 0.000
0.000 0.000 0.500
0.000 0.500 0.000
0.500 0.000 0.000
0.500 0.500 0.500
```


(4)
A relaxed KTlTcSn2 crystal. Source: Alexandria, functional PBE-GGA.

## Properties
- calculated density (Mg/m³) = 6.4
- total magnetization (Bohr magnetons per cell) = 0.5
- electronic total energy (eV/atom) = -4.30
- volume (Å³/f.u.) = 149.7
- density of states at the Fermi level (states/eV/atom) = 0.8737

Cell and atoms, written as POSCAR:
```
KTlTcSn2
1.0
5.253 0.000 0.000
0.000 5.253 0.000
0.000 0.000 5.423
K Tl Tc Sn
1 1 1 2
direct
0.000 0.000 0.000
0.500 0.500 0.000
0.500 0.500 0.500
0.000 0.500 0.500
0.500 0.000 0.500
```


(5)
A relaxed KVTc2Sn crystal. Source: Alexandria, functional PBE-GGA.

## Properties
- calculated density (Mg/m³) = 5.0
- total magnetization (Bohr magnetons per cell) = 0.6
- electronic total energy (eV/atom) = -4.67
- volume (Å³/f.u.) = 135.0
- density of states at the Fermi level (states/eV/atom) = 2.7705

Cell and atoms, written as POSCAR:
```
KVTc2Sn
1.0
4.967 0.000 0.000
0.000 4.967 0.000
0.000 0.000 5.470
K V Tc Sn
1 1 2 1
direct
0.000 0.000 0.000
0.500 0.500 0.000
0.000 0.500 0.500
0.500 0.000 0.500
0.000 0.000 0.500
```


(6)
A relaxed KZnTc2Sn crystal. Source: Alexandria, functional PBE-GGA.

## Properties
- calculated density (Mg/m³) = 5.7
- total magnetization (Bohr magnetons per cell) = 4.7
- electronic total energy (eV/atom) = -4.04
- volume (Å³/f.u.) = 122.2
- density of states at the Fermi level (states/eV/atom) = 1.1312

Cell and atoms, written as POSCAR:
```
KZnTc2Sn
1.0
4.845 0.000 0.000
0.000 4.845 0.000
0.000 0.000 5.204
K Zn Tc Sn
1 1 2 1
direct
0.000 0.000 0.000
0.000 0.000 0.500
0.000 0.500 0.500
0.500 0.000 0.500
0.500 0.500 0.000
```


(7)
A relaxed KSn2Te crystal. Source: Alexandria, functional PBE-GGA.

## Properties
- calculated density (Mg/m³) = 4.7
- total magnetization (Bohr magnetons per cell) = 0.0
- volume (Å³/f.u.) = 142.8
- ΔE_f (raw) (kJ/mol of atoms) = -13
- density of states at the Fermi level (states/eV/atom) = 0.5645

Cell and atoms, written as POSCAR:
```
KSn2Te
1.0
-4.680 4.680 3.258
4.680 -4.680 3.258
4.680 4.680 -3.258
K Sn Te
2 4 2
direct
0.000 0.000 0.000
0.750 0.250 0.500
0.170 0.625 0.045
0.375 0.420 0.545
0.580 0.125 0.955
0.875 0.830 0.455
0.250 0.750 0.500
0.500 0.500 0.000
```


(8)
A relaxed K5Sn2Te5 crystal. Source: Alexandria, functional PBE-GGA.

## Properties
- calculated density (Mg/m³) = 3.5
- total magnetization (Bohr magnetons per cell) = 0.0
- volume (Å³/f.u.) = 503.2
- ΔE_f (raw) (kJ/mol of atoms) = -73
- density of states at the Fermi level (states/eV/atom) = 0.1180

Cell and atoms, written as POSCAR:
```
K5Sn2Te5
1.0
7.779 -2.548 0.000
7.779 2.548 0.000
-4.385 0.000 12.692
K Sn Te
5 2 5
direct
0.000 0.000 0.000
0.161 0.161 0.555
0.248 0.248 0.859
0.752 0.752 0.141
0.839 0.839 0.445
0.448 0.448 0.700
0.552 0.552 0.300
0.157 0.157 0.289
0.397 0.397 0.115
0.500 0.500 0.500
0.603 0.603 0.885
0.843 0.843 0.711
```


(9)
A relaxed K2SnTe3 crystal. Source: Alexandria, functional PBE-GGA.

## Properties
- calculated density (Mg/m³) = 3.6
- total magnetization (Bohr magnetons per cell) = 0.0
- volume (Å³/f.u.) = 270.3
- ΔE_f (raw) (kJ/mol of atoms) = -62

Cell and atoms, written as POSCAR:
```
K2SnTe3
1.0
3.976 -7.831 0.000
3.976 7.831 0.000
-0.514 0.000 17.362
K Sn Te
8 4 12
direct
0.029 0.455 0.340
0.159 0.348 0.935
0.348 0.159 0.435
0.455 0.029 0.840
0.545 0.971 0.160
0.652 0.841 0.565
0.841 0.652 0.065
0.971 0.545 0.660
0.263 0.270 0.156
0.270 0.263 0.656
0.730 0.737 0.344
0.737 0.730 0.844
0.057 0.943 0.750
0.100 0.317 0.539
0.160 0.503 0.126
0.317 0.100 0.039
0.408 0.592 0.750
0.497 0.840 0.374
0.503 0.160 0.626
0.592 0.408 0.250
0.683 0.900 0.961
0.840 0.497 0.874
0.900 0.683 0.461
0.943 0.057 0.250
```


(10)
A relaxed K2SnTe3 crystal. Source: Alexandria, functional PBE-GGA.

## Properties
- calculated density (Mg/m³) = 3.9
- total magnetization (Bohr magnetons per cell) = 0.0
- volume (Å³/f.u.) = 247.7
- ΔE_f (raw) (kJ/mol of atoms) = -61

Cell and atoms, written as POSCAR:
```
K2SnTe3
1.0
6.843 -4.530 0.000
6.843 4.530 0.000
-1.551 0.000 7.989
K Sn Te
4 2 6
direct
0.010 0.678 0.847
0.322 0.990 0.653
0.678 0.010 0.347
0.990 0.322 0.153
0.413 0.587 0.250
0.587 0.413 0.750
0.113 0.887 0.250
0.296 0.420 0.519
0.420 0.296 0.019
0.580 0.704 0.981
0.704 0.580 0.481
0.887 0.113 0.750
```


(11)
A relaxed K3SnTe4 crystal. Source: Alexandria, functional PBE-GGA.

## Properties
- calculated density (Mg/m³) = 3.6
- total magnetization (Bohr magnetons per cell) = 1.2
- volume (Å³/f.u.) = 344.9
- ΔE_f (raw) (kJ/mol of atoms) = -62
- density of states at the Fermi level (states/eV/atom) = 1.2943

Cell and atoms, written as POSCAR:
```
K3SnTe4
1.0
13.830 0.000 0.000
0.000 7.074 0.000
0.000 0.000 7.050
K Sn Te
6 2 8
direct
0.000 0.194 0.000
0.249 0.277 0.577
0.251 0.723 0.077
0.500 0.806 0.500
0.749 0.723 0.077
0.751 0.277 0.577
0.000 0.632 0.432
0.500 0.368 0.932
0.000 0.244 0.499
0.000 0.697 0.042
0.172 0.779 0.579
0.328 0.221 0.079
0.500 0.303 0.542
0.500 0.756 0.999
0.672 0.221 0.079
0.828 0.779 0.579
```


(12)
A relaxed K3Sn2Te4 crystal. Source: Alexandria, functional PBE-GGA.

## Properties
- calculated density (Mg/m³) = 3.7
- total magnetization (Bohr magnetons per cell) = 0.0
- volume (Å³/f.u.) = 388.5
- polymorph energy (0 for the lowest one) (meV/atom) = 7
- ΔE_f (raw) (kJ/mol of atoms) = -63
- density of states at the Fermi level (states/eV/atom) = 0.1961

Cell and atoms, written as POSCAR:
```
K3Sn2Te4
1.0
6.807 -6.139 0.000
6.807 6.139 0.000
-1.132 0.000 9.298
K Sn Te
6 4 8
direct
0.128 0.872 0.750
0.233 0.473 0.355
0.473 0.233 0.855
0.527 0.767 0.145
0.767 0.527 0.645
0.872 0.128 0.250
0.060 0.309 0.908
0.309 0.060 0.408
0.691 0.940 0.592
0.940 0.691 0.092
0.099 0.224 0.595
0.224 0.099 0.095
0.228 0.566 0.975
0.434 0.772 0.525
0.566 0.228 0.475
0.772 0.434 0.025
0.776 0.901 0.905
0.901 0.776 0.405
```